The following is a GGA-PBE calculation of a relaxed TiTlCd2Os crystal, from Alexandria via LeMat-Bulk.

a b c (Å): 5.4954 5.4954 4.5011
angles (deg): 90.00 90.00 90.00
Fractional positions:
Ti: 0.0000 0.0000 0.0000
Tl: 0.5000 0.5000 0.5000
Cd: 0.0000 0.5000 0.0000
Cd: 0.5000 0.0000 0.0000
Os: 0.0000 0.0000 0.5000

As for the crystal system: tetragonal. As for the space group: P4/mmm. The value obtained for the formation energy is 0.91 eV/atom.

=====

The following is a GGA-PBE calculation of a relaxed La2NdSn crystal, from Alexandria via LeMat-Bulk.

a b c (Å): 4.3308 4.3308 7.0617
angles (deg): 90.00 90.00 90.00
Fractional positions:
La: 0.0000 0.0000 0.2217
La: 0.0000 0.0000 0.7783
Nd: 0.5000 0.5000 0.5000
Sn: 0.5000 0.5000 0.0000

As for the crystal system: tetragonal. As for the space group: P4/mmm. The value obtained for the formation energy is -0.39 eV/atom.

=====

| no. | spin magnetization (μB per formula unit) |
| --- | --- |
| 1 | 0.0 |
| 2 | 0.0 |